No. 1
LaTlSb2P (PBE, optimized geometry); density of states at the Fermi level = 4.50 states/eV/cell; formation energy (no corrections) = 0.78 eV per atom; total moment = 0.001 μB per formula unit; total energy = -0.2506 Ry per atom
1.0
-3.420 2.378 -3.520
2.242 -3.541 -4.571
-3.763 -3.793 1.093
Sb Tl P La
2 1 1 1
direct
0.500 0.000 0.000
0.000 0.000 0.500
0.000 0.000 0.000
0.500 0.500 0.500
0.000 0.500 0.000

No. 2
La2ZnSbP (PBE, optimized geometry); density of states at the Fermi level = 4.62 states/eV/cell; formation energy (no corrections) = 0.17 eV per atom; total moment = 0.000 μB per formula unit; total energy = -0.2910 Ry per atom
1.0
6.031 0.000 0.000
0.000 5.049 0.000
0.000 0.000 6.031
La Sb Zn P
2 1 1 1
direct
0.500 0.000 0.000
0.000 0.000 0.500
0.000 0.000 0.000
0.500 0.500 0.500
0.000 0.500 0.000

No. 3
LaSc4P (PBE, optimized geometry); density of states at the Fermi level = 8.06 states/eV/cell; total moment = 2.335 μB per formula unit; energy relative to the elements = 0.29 eV/atom; total energy = -0.4154 Ry per atom
1.0
0.000 4.262 4.262
4.262 0.000 4.262
4.262 4.262 0.000
Sc La P
4 1 1
direct
0.376 0.873 0.376
0.376 0.376 0.873
0.873 0.376 0.376
0.376 0.376 0.376
0.750 0.750 0.750
0.000 0.000 0.000

No. 4
LaSc2P (PBE, optimized geometry); density of states at the Fermi level = 3.07 states/eV/cell; total moment = 0.004 μB per formula unit; energy relative to the elements = -0.16 eV/atom; total energy = -0.4342 Ry per atom
1.0
4.919 -1.004 -0.438
1.525 -4.651 -1.199
1.992 -0.907 -4.539
P La Sc
1 1 2
direct
0.250 0.250 0.250
0.500 0.500 0.500
0.750 0.750 0.750
0.000 0.000 0.000

> total moment of number 3 (LaSc4P)?

2.335 μB per formula unit